1.
## Ga2CoPbI (PBE-GGA)

Data for a geometry-optimized Ga2CoPbI structure.

Values from the calculation:
Space-group type = P4/mmm
Total magnetic moment = 0.00 μB per cell
Total DFT energy (no corrections) = -19.07 eV/cell
Energy relative to the elements, uncorrected = -0.130 eV/atom

Unit cell a=4.7916 b=4.7916 c=5.1763 alpha=90.00 beta=90.00 gamma=90.00
Sites, in units of the cell vectors:
Ga  0.0000  0.5000  0.0000
Ga  0.5000  0.0000  0.0000
Co  0.0000  0.0000  0.0000
Pb  0.0000  0.0000  0.5000
I  0.5000  0.5000  0.5000

=====

2.
## La3Cu2O6 (PBE-GGA)

Data for a geometry-optimized La3Cu2O6 structure.

Values from the calculation:
Space-group type = I4/mmm
Total magnetic moment = 0.00 μB per cell
Total DFT energy (no corrections) = -79.33 eV/cell
Energy relative to the elements, uncorrected = -2.418 eV/atom

Unit cell a=10.1546 b=10.1546 c=10.1546 alpha=157.61 beta=157.61 gamma=31.88
Sites, in units of the cell vectors:
La  0.0000  0.0000  0.0000
La  0.1767  0.1767  0.0000
La  0.8233  0.8233  0.0000
Cu  0.4147  0.4147  0.0000
Cu  0.5853  0.5853  0.0000
O  0.0842  0.5842  0.5000
O  0.2918  0.2918  0.0000
O  0.4158  0.9158  0.5000
O  0.5842  0.0842  0.5000
O  0.7082  0.7082  0.0000
O  0.9158  0.4158  0.5000

=====

3.
## CsAlI (PBE-GGA)

Data for a geometry-optimized CsAlI structure.

Values from the calculation:
Space-group type = P1
Total magnetic moment = 0.00 μB per cell
Total DFT energy (no corrections) = -15.11 eV/cell
Energy above the most stable polymorph in this dataset = 0.40 eV per formula unit
Energy relative to the elements, uncorrected = -0.470 eV/atom

Unit cell a=4.7865 b=7.1122 c=8.8844 alpha=109.08 beta=91.10 gamma=101.38
Sites, in units of the cell vectors:
Cs  0.0000  0.0000  0.0000
Cs  0.1149  0.3299  0.6556
Al  0.4346  0.6955  0.2596
Al  0.8865  0.5637  0.1269
I  0.4676  0.8801  0.6391
I  0.5960  0.3243  0.3133

=====

4.
## Tb2PmY5Ho (PBE-GGA)

Data for a geometry-optimized Tb2PmY5Ho structure.

Values from the calculation:
Calculated formation energy = 26.42 kJ/mol of atoms
Space-group type = I4/mcm
Total magnetic moment = 0.00 μB per cell
Total DFT energy (no corrections) = -96.89 eV/cell

Unit cell a=9.7707 b=9.7707 c=9.7707 alpha=125.97 beta=125.97 gamma=79.94
Sites, in units of the cell vectors:
Tb  0.1138  0.6138  0.7276
Tb  0.3862  0.1138  0.5000
Tb  0.6138  0.8862  0.5000
Tb  0.8862  0.3862  0.2724
Pm  0.2500  0.2500  0.0000
Pm  0.7500  0.7500  0.0000
Y  0.0000  0.0000  0.0000
Y  0.0719  0.1601  0.5000
Y  0.1601  0.6601  0.0882
Y  0.3399  0.4281  0.5000
Y  0.4281  0.9281  0.0882
Y  0.5000  0.5000  0.0000
Y  0.5719  0.0719  0.9118
Y  0.6601  0.5719  0.5000
Y  0.8399  0.3399  0.9118
Y  0.9281  0.8399  0.5000
Ho  0.2500  0.7500  0.5000
Ho  0.7500  0.2500  0.5000

=====

5.
## ZnGa2PdC (PBE-GGA)

Data for a geometry-optimized ZnGa2PdC structure.

Values from the calculation:
Calculated formation energy = 100.31 kJ/mol of atoms
Space-group type = P4/mmm
Total magnetic moment = 0.00 μB per cell
Total DFT energy (no corrections) = -16.55 eV/cell

Unit cell a=4.9736 b=4.9736 c=3.6063 alpha=90.00 beta=90.00 gamma=90.00
Sites, in units of the cell vectors:
Zn  0.0000  0.0000  0.0000
Ga  0.0000  0.5000  0.0000
Ga  0.5000  0.0000  0.0000
Pd  0.5000  0.5000  0.5000
C  0.0000  0.0000  0.5000

=====

6.
## Sr2Sb2Pb (PBE-GGA)

Data for a geometry-optimized Sr2Sb2Pb structure.

Values from the calculation:
Space-group type = P4/mbm
Total magnetic moment = 0.00 μB per cell
Total DFT energy (no corrections) = -37.41 eV/cell
Energy above the most stable polymorph in this dataset = 0.00 eV per formula unit
Energy relative to the elements, uncorrected = -0.677 eV/atom

Unit cell a=9.3468 b=9.3468 c=3.9468 alpha=90.00 beta=90.00 gamma=90.00
Sites, in units of the cell vectors:
Sr  0.1402  0.3598  0.0000
Sr  0.3598  0.8598  0.0000
Sr  0.6402  0.1402  0.0000
Sr  0.8598  0.6402  0.0000
Sb  0.1614  0.6614  0.5000
Sb  0.3386  0.1614  0.5000
Sb  0.6614  0.8386  0.5000
Sb  0.8386  0.3386  0.5000
Pb  0.0000  0.0000  0.5000
Pb  0.5000  0.5000  0.5000

=====

7.
## NaAc2Ge3Pd4 (PBE-GGA)

Data for a geometry-optimized NaAc2Ge3Pd4 structure.

Values from the calculation:
Calculated formation energy = -69.62 kJ/mol of atoms
Space-group type = P-4m2
Total magnetic moment = 0.00 μB per cell
Total DFT energy (no corrections) = -51.38 eV/cell

Unit cell a=4.4424 b=4.4424 c=10.7705 alpha=90.00 beta=90.00 gamma=90.00
Sites, in units of the cell vectors:
Na  0.0000  0.0000  0.0000
Ac  0.0000  0.5000  0.7418
Ac  0.5000  0.0000  0.2582
Ge  0.0000  0.5000  0.3786
Ge  0.5000  0.0000  0.6214
Ge  0.5000  0.5000  0.0000
Pd  0.0000  0.0000  0.5000
Pd  0.0000  0.5000  0.1441
Pd  0.5000  0.0000  0.8559
Pd  0.5000  0.5000  0.5000

=====

8.
## SrIrRu2 (PBE-GGA)

Data for a geometry-optimized SrIrRu2 structure.

Values from the calculation:
Calculated formation energy = 70.33 kJ/mol of atoms
Space-group type = I-42d
Total magnetic moment = 0.00 μB per cell
Total DFT energy (no corrections) = -52.36 eV/cell
Energy above the most stable polymorph in this dataset = 1.33 eV per formula unit

Unit cell a=9.4189 b=9.4189 c=9.4189 alpha=151.82 beta=151.82 gamma=40.28
Sites, in units of the cell vectors:
Sr  0.0000  0.0000  0.0000
Sr  0.7500  0.2500  0.5000
Ir  0.2500  0.7500  0.5000
Ir  0.5000  0.5000  0.0000
Ru  0.2789  0.6250  0.1539
Ru  0.3750  0.5289  0.6539
Ru  0.4711  0.1250  0.8461
Ru  0.8750  0.7211  0.3461

=====

9.
## DySc3Co8 (PBE-GGA)

Data for a geometry-optimized DySc3Co8 structure.

Values from the calculation:
Calculated formation energy = -29.68 kJ/mol of atoms
Space-group type = R3m
Total magnetic moment = 7.32 μB per cell
Total DFT energy (no corrections) = -84.13 eV/cell

Unit cell a=8.5416 b=8.5416 c=8.5416 alpha=33.50 beta=33.50 gamma=33.50
Sites, in units of the cell vectors:
Dy  0.0000  0.0000  0.0000
Sc  0.3773  0.3773  0.3773
Sc  0.5005  0.5005  0.5005
Sc  0.8735  0.8735  0.8735
Co  0.1874  0.1874  0.1874
Co  0.4368  0.4368  0.9340
Co  0.4368  0.9340  0.4368
Co  0.4422  0.9377  0.9377
Co  0.6881  0.6881  0.6881
Co  0.9340  0.4368  0.4368
Co  0.9377  0.4422  0.9377
Co  0.9377  0.9377  0.4422

=====

10.
## BaGaGe2 (PBE-GGA)

Data for a geometry-optimized BaGaGe2 structure.

Values from the calculation:
Calculated formation energy = -24.47 kJ/mol of atoms
Space-group type = I-42d
Total magnetic moment = 0.00 μB per cell
Total DFT energy (no corrections) = -30.40 eV/cell
Energy above the most stable polymorph in this dataset = 0.17 eV per formula unit

Unit cell a=9.6143 b=9.6143 c=9.6143 alpha=148.61 beta=148.61 gamma=44.99
Sites, in units of the cell vectors:
Ba  0.0000  0.0000  0.0000
Ba  0.7500  0.2500  0.5000
Ga  0.2500  0.7500  0.5000
Ga  0.5000  0.5000  0.0000
Ge  0.3736  0.1250  0.7486
Ge  0.3750  0.6264  0.7514
Ge  0.3764  0.6250  0.2514
Ge  0.8750  0.6236  0.2486

=====

11.
## Li2Er2TmIn2 (PBE-GGA)

Data for a geometry-optimized Li2Er2TmIn2 structure.

Values from the calculation:
Calculated formation energy = -20.01 kJ/mol of atoms
Space-group type = R-3m
Total magnetic moment = 0.00 μB per cell
Total DFT energy (no corrections) = -24.35 eV/cell

Unit cell a=9.1667 b=9.1667 c=9.1667 alpha=30.44 beta=30.44 gamma=30.44
Sites, in units of the cell vectors:
Li  0.1050  0.1050  0.1050
Li  0.8950  0.8950  0.8950
Er  0.3726  0.3726  0.3726
Er  0.6274  0.6274  0.6274
Tm  0.5000  0.5000  0.5000
In  0.2378  0.2378  0.2378
In  0.7622  0.7622  0.7622

=====

12.
## Dy6GaRh2 (PBE-GGA)

Data for a geometry-optimized Dy6GaRh2 structure.

Values from the calculation:
Calculated formation energy = -57.14 kJ/mol of atoms
Space-group type = Immm
Total magnetic moment = 0.00 μB per cell
Total DFT energy (no corrections) = -101.34 eV/cell

Unit cell a=8.4042 b=8.4042 c=8.4042 alpha=112.81 beta=110.88 gamma=104.83
Sites, in units of the cell vectors:
Dy  0.0442  0.2395  0.8048
Dy  0.1783  0.2829  0.4612
Dy  0.1783  0.7171  0.8954
Dy  0.3307  0.0252  0.6945
Dy  0.3307  0.6362  0.3055
Dy  0.4347  0.2395  0.1952
Dy  0.5653  0.7605  0.8048
Dy  0.6693  0.3638  0.6945
Dy  0.6693  0.9748  0.3055
Dy  0.8217  0.2829  0.1046
Dy  0.8217  0.7171  0.5388
Dy  0.9558  0.7605  0.1952
Ga  0.0000  0.0000  0.0000
Ga  0.5000  0.5000  0.0000
Rh  0.1333  0.6333  0.5000
Rh  0.3313  0.0000  0.3313
Rh  0.6687  0.0000  0.6687
Rh  0.8667  0.3667  0.5000

=====

- The highest total DFT energy (no corrections) belongs to which entry?
  CsAlI